(1)
Density functional theory data (GGA-PBE) for an optimized crystal structure of Ti3BeGe.

Electronic total energy in eV for the cell shown: -31.65
Distance to the lowest polymorph of the same formula in eV per atom: 0.189

Cell and atoms, written as POSCAR:
```
Ti3BeGe
1.0
-0.573 -1.512 4.008
-3.020 -2.726 -1.460
3.038 -2.994 -0.695
Ti Ge Be
3 1 1
direct
0.000 0.000 0.500 Ti
0.500 0.000 0.000 Ti
0.000 0.500 0.000 Ti
0.500 0.500 0.500 Ge
0.000 0.000 0.000 Be
```


(2)
Density functional theory data (GGA-PBE) for an optimized crystal structure of K2ScSBr.

Electronic total energy in eV for the cell shown: -15.91
ΔE_f (raw) in kJ/mol of atoms: -30.5

Cell and atoms, written as POSCAR:
```
K2ScSBr
1.0
-1.133 -0.934 5.744
3.085 -4.189 -0.073
4.638 3.390 1.466
Br Sc K S
1 1 2 1
direct
0.000 0.000 0.000 Br
0.000 0.500 0.000 Sc
0.500 0.000 0.000 K
0.000 0.000 0.500 K
0.500 0.500 0.500 S
```


(3)
Density functional theory data (GGA-PBE) for an optimized crystal structure of K3Ho3HfS8.

Electronic total energy in eV for the cell shown: -87.61
ΔE_f (raw) in kJ/mol of atoms: -177.6

Cell and atoms, written as POSCAR:
```
K3Ho3HfS8
1.0
-1.742 6.162 -4.598
-5.512 -5.405 1.604
2.172 5.472 6.510
Ho S K Hf
3 8 3 1
direct
0.500 0.000 0.500 Ho
0.500 0.500 0.500 Ho
0.000 0.500 0.500 Ho
0.222 0.970 0.692 S
0.222 0.443 0.692 S
0.251 0.030 0.308 S
0.778 0.030 0.308 S
0.778 0.557 0.308 S
0.733 0.467 0.700 S
0.267 0.533 0.300 S
0.749 0.970 0.692 S
0.000 0.500 0.000 K
0.000 0.000 0.000 K
0.500 0.500 0.000 K
0.000 0.000 0.500 Hf
```


(4)
Density functional theory data (GGA-PBE) for an optimized crystal structure of ZrInW2S.

Electronic total energy in eV for the cell shown: -30.11
ΔE_f (raw) in kJ/mol of atoms: 216.4

Cell and atoms, written as POSCAR:
```
ZrInW2S
1.0
5.036 0.000 0.000
0.000 4.717 0.000
0.000 0.000 5.036
S W Zr In
1 2 1 1
direct
0.000 0.500 0.000 S
0.000 0.000 0.500 W
0.500 0.000 0.000 W
0.500 0.500 0.500 Zr
0.000 0.000 0.000 In
```


(5)
Density functional theory data (GGA-PBE) for an optimized crystal structure of LaCu2Pt.

Electronic total energy in eV for the cell shown: -20.31
Distance to the lowest polymorph of the same formula in eV per atom: 0.233

Cell and atoms, written as POSCAR:
```
LaCu2Pt
1.0
-3.357 -0.433 0.520
-0.436 -0.632 -3.337
0.970 -6.244 1.056
La Pt Cu
1 1 2
direct
0.000 0.000 0.513 La
0.500 0.500 0.791 Pt
0.500 0.500 0.183 Cu
0.000 0.000 0.013 Cu
```


(6)
Density functional theory data (GGA-PBE) for an optimized crystal structure of LiNd2Ni16.

Electronic total energy in eV for the cell shown: -107.31

Cell and atoms, written as POSCAR:
```
LiNd2Ni16
1.0
-5.777 -1.004 2.321
1.692 -0.285 6.068
-1.280 6.015 1.397
Ni Li Nd
16 1 2
direct
0.293 0.707 0.000 Ni
0.293 0.000 0.707 Ni
0.707 0.000 0.293 Ni
0.154 0.657 0.657 Ni
0.002 0.002 0.496 Ni
0.343 0.847 0.343 Ni
0.657 0.154 0.657 Ni
0.000 0.293 0.707 Ni
0.000 0.707 0.293 Ni
0.657 0.657 0.154 Ni
0.707 0.293 0.000 Ni
0.096 0.096 0.096 Ni
0.343 0.343 0.847 Ni
0.496 0.002 0.002 Ni
0.002 0.496 0.002 Ni
0.847 0.343 0.343 Ni
0.906 0.906 0.906 Li
0.340 0.340 0.340 Nd
0.658 0.658 0.658 Nd
```


(7)
Density functional theory data (GGA-PBE) for an optimized crystal structure of AcMg2RuN4.

Electronic total energy in eV for the cell shown: -106.35
ΔE_f (raw) in kJ/mol of atoms: -39.8

Cell and atoms, written as POSCAR:
```
AcMg2RuN4
1.0
-5.372 1.662 -0.373
-1.786 -5.387 1.718
0.186 2.180 7.026
N Ac Ru Mg
8 2 2 4
direct
0.838 0.763 0.500 N
0.862 0.338 0.205 N
0.462 0.133 0.500 N
0.338 0.237 0.000 N
0.962 0.867 0.000 N
0.362 0.662 0.295 N
0.862 0.338 0.795 N
0.362 0.662 0.705 N
0.484 0.835 0.000 Ac
0.984 0.165 0.500 Ac
0.003 0.196 0.000 Ru
0.503 0.804 0.500 Ru
0.995 0.665 0.754 Mg
0.495 0.335 0.746 Mg
0.995 0.665 0.246 Mg
0.495 0.335 0.254 Mg
```


(8)
Density functional theory data (GGA-PBE) for an optimized crystal structure of Na2YAl4.

Electronic total energy in eV for the cell shown: -18.77

Cell and atoms, written as POSCAR:
```
Na2YAl4
1.0
-2.485 4.735 1.526
-3.067 -0.115 -4.637
-8.318 -1.814 2.213
Al Na Y
4 2 1
direct
0.184 0.184 0.632 Al
0.000 0.500 0.000 Al
0.500 0.000 0.000 Al
0.816 0.816 0.368 Al
0.613 0.613 0.774 Na
0.387 0.387 0.226 Na
0.000 0.000 0.000 Y
```


(9)
Density functional theory data (GGA-PBE) for an optimized crystal structure of BiRh.

Electronic total energy in eV for the cell shown: -62.41

Cell and atoms, written as POSCAR:
```
BiRh
1.0
7.485 0.000 0.000
0.000 7.485 0.000
0.000 0.000 7.485
Bi Rh
6 6
direct
0.750 0.000 0.500 Bi
0.250 0.000 0.500 Bi
0.000 0.500 0.250 Bi
0.000 0.500 0.750 Bi
0.500 0.250 0.000 Bi
0.500 0.750 0.000 Bi
0.250 0.500 0.000 Rh
0.500 0.000 0.750 Rh
0.500 0.000 0.250 Rh
0.000 0.750 0.500 Rh
0.750 0.500 0.000 Rh
0.000 0.250 0.500 Rh
```


(10)
Density functional theory data (GGA-PBE) for an optimized crystal structure of La8SnSe6.

Electronic total energy in eV for the cell shown: -87.01
ΔE_f (raw) in kJ/mol of atoms: -145.9

Cell and atoms, written as POSCAR:
```
La8SnSe6
1.0
4.341 0.000 0.000
0.000 9.605 -5.545
0.000 0.000 11.091
La Se Sn
8 6 1
direct
0.250 0.667 0.333 La
0.748 0.709 0.673 La
0.252 0.291 0.327 La
0.748 0.327 0.036 La
0.748 0.964 0.291 La
0.750 0.333 0.667 La
0.252 0.036 0.709 La
0.252 0.673 0.964 La
0.250 0.352 0.868 Se
0.750 0.484 0.352 Se
0.750 0.648 0.132 Se
0.750 0.868 0.516 Se
0.250 0.132 0.484 Se
0.250 0.516 0.648 Se
0.500 0.000 0.000 Sn
```


(11)
Density functional theory data (GGA-PBE) for an optimized crystal structure of Ca2ScHg3.

Electronic total energy in eV for the cell shown: -14.22

Cell and atoms, written as POSCAR:
```
Ca2ScHg3
1.0
-2.036 1.114 -2.866
-2.204 -2.926 0.429
-6.452 5.866 6.863
Hg Ca Sc
3 2 1
direct
0.000 0.000 0.000 Hg
0.000 0.000 0.354 Hg
0.000 0.000 0.646 Hg
0.500 0.500 0.174 Ca
0.500 0.500 0.826 Ca
0.500 0.500 0.500 Sc
```


(12)
Density functional theory data (GGA-PBE) for an optimized crystal structure of AsCl.

Electronic total energy in eV for the cell shown: -13.16
ΔE_f (raw) in kJ/mol of atoms: -4.0

Cell and atoms, written as POSCAR:
```
AsCl
1.0
8.847 0.906 0.560
7.697 4.455 0.560
7.697 2.494 3.733
Cl As
2 2
direct
0.097 0.097 0.097 Cl
0.903 0.903 0.903 Cl
0.359 0.359 0.359 As
0.641 0.641 0.641 As
```


(13)
Density functional theory data (GGA-PBE) for an optimized crystal structure of Hf3ZrNb.

Electronic total energy in eV for the cell shown: -43.94
Distance to the lowest polymorph of the same formula in eV per atom: 0.813

Cell and atoms, written as POSCAR:
```
Hf3ZrNb
1.0
5.033 0.000 0.000
0.000 5.033 0.000
0.000 0.000 5.033
Zr Hf Nb
1 3 1
direct
0.500 0.500 0.500 Zr
0.000 0.000 0.500 Hf
0.000 0.500 0.000 Hf
0.500 0.000 0.000 Hf
0.000 0.000 0.000 Nb
```


(14)
Density functional theory data (GGA-PBE) for an optimized crystal structure of HfBeCo3.

Electronic total energy in eV for the cell shown: -35.67
Distance to the lowest polymorph of the same formula in eV per atom: 0.155

Cell and atoms, written as POSCAR:
```
HfBeCo3
1.0
-0.402 3.696 1.215
-2.843 -1.113 2.444
2.655 -0.632 2.801
Co Be Hf
3 1 1
direct
0.500 0.000 0.000 Co
0.000 0.000 0.500 Co
0.000 0.500 0.000 Co
0.000 0.000 0.000 Be
0.500 0.500 0.500 Hf
```


(15)
Density functional theory data (GGA-PBE) for an optimized crystal structure of Nd3Dy6Y2Mg.

Electronic total energy in eV for the cell shown: -56.06

Cell and atoms, written as POSCAR:
```
Nd3Dy6Y2Mg
1.0
-1.957 -5.635 1.622
4.476 2.774 3.239
-8.819 5.727 5.303
Dy Y Mg Nd
6 2 1 3
direct
0.251 0.251 0.754 Dy
0.081 0.413 0.245 Dy
0.413 0.081 0.245 Dy
0.749 0.749 0.246 Dy
0.919 0.587 0.755 Dy
0.587 0.919 0.755 Dy
0.334 0.666 0.000 Y
0.666 0.334 0.000 Y
0.000 0.000 0.000 Mg
0.834 0.166 0.500 Nd
0.500 0.500 0.500 Nd
0.166 0.834 0.500 Nd
```


(16)
Density functional theory data (GGA-PBE) for an optimized crystal structure of La2YZn.

Electronic total energy in eV for the cell shown: -17.75
Distance to the lowest polymorph of the same formula in eV per atom: 0.123

Cell and atoms, written as POSCAR:
```
La2YZn
1.0
-4.536 2.624 2.137
-3.215 -2.226 -4.091
-0.709 -3.014 2.197
Zn Y La
1 1 2
direct
0.000 0.500 0.500 Zn
0.500 0.000 0.500 Y
0.000 0.000 0.000 La
0.500 0.500 0.000 La
```